1.
## NpO (PBE-GGA)

Data for a relaxed structure of NpO.

Unit cell a=3.438 b=3.438 c=3.438 alpha=60.00 beta=60.00 gamma=60.00
Positions (direct):
O (0.500, 0.500, 0.500)
Np (0.000, 0.000, 0.000)

Values from the calculation:
Fermi-level density of states = 1.505 states/eV per atom
Formation energy (no corrections) = -2183 meV/atom
ρ = 14.62 g/cm³
Total energy = -0.409 hartree per atom
SG = No. 225

2.
## YP2F (PBE-GGA)

Data for a relaxed structure of YP2F.

Unit cell a=4.654 b=4.654 c=4.654 alpha=60.00 beta=60.00 gamma=60.00
Positions (direct):
P (0.250, 0.250, 0.250)
P (0.750, 0.750, 0.750)
F (0.000, 0.000, 0.000)
Y (0.500, 0.500, 0.500)

Values from the calculation:
Fermi-level density of states = 0.596 states/eV per atom
Formation energy (no corrections) = -535 meV/atom
ρ = 3.96 g/cm³
Total energy = -0.196 hartree per atom
SG = No. 225

3.
## Pm2Dy6Tm3In (PBE-GGA)

Data for a relaxed structure of Pm2Dy6Tm3In.

Unit cell a=6.071 b=6.071 c=11.665 alpha=94.98 beta=94.98 gamma=120.03
Positions (direct):
Tm (0.500, 0.500, 0.500)
Dy (0.084, 0.411, 0.251)
Dy (0.411, 0.084, 0.251)
In (0.000, 0.000, 0.000)
Tm (0.833, 0.167, 0.500)
Tm (0.167, 0.833, 0.500)
Dy (0.589, 0.916, 0.749)
Dy (0.756, 0.756, 0.252)
Pm (0.666, 0.334, 0.000)
Dy (0.916, 0.589, 0.749)
Dy (0.244, 0.244, 0.748)
Pm (0.334, 0.666, 0.000)

Values from the calculation:
Fermi-level density of states = 1.280 states/eV per atom
ρ = 8.55 g/cm³
Total energy = -0.165 hartree per atom
SG = No. 12
Formation energy = -0.052 eV per atom

4.
## La7Y3 (PBE-GGA)

Data for a relaxed structure of La7Y3.

Unit cell a=5.958 b=7.269 c=8.978 alpha=100.44 beta=109.38 gamma=90.00
Positions (direct):
Y (0.197, 0.750, 0.393)
La (0.190, 0.234, 0.380)
Y (0.000, 0.000, 0.000)
La (0.810, 0.766, 0.620)
La (0.616, 0.425, 0.233)
La (0.604, 0.910, 0.208)
La (0.396, 0.090, 0.792)
La (0.384, 0.575, 0.767)
Y (0.803, 0.250, 0.607)
La (0.000, 0.500, 0.000)

Values from the calculation:
Fermi-level density of states = 1.563 states/eV per atom
ρ = 5.72 g/cm³
Total energy = -0.195 hartree per atom
SG = No. 12
Formation energy = 0.074 eV per atom

Among the records above, which one has the lowest Fermi-level density of states? YP2F